*A*
4
Lattice="3.075 0.000 0.000 0.000 3.075 0.000 0.000 0.000 7.303" Properties=species:S:1:pos:R:3 comment="UGe2Ru PBE optimized geometry" sg="P4/mmm (123)" pbc="T T T"
U 0.000 0.000 0.000
Ge 1.537 1.537 2.157
Ge 1.537 1.537 5.146
Ru 0.000 0.000 3.652


*B*
4
Lattice="1.478 0.853 9.786 -1.478 0.853 9.786 0.000 -1.707 9.786" Properties=species:S:1:pos:R:3 comment="UGe2Ru PBE optimized geometry" sg="R-3m (166)" pbc="T T T"
U 0.000 0.000 0.000
Ge 0.000 0.000 2.969
Ge 0.000 0.000 26.390
Ru 0.000 0.000 14.680


The most stable of them is *A*.


*A*
10
Lattice="2.088 -6.497 0.000 2.088 6.497 0.000 0.000 0.000 5.148" Properties=species:S:1:pos:R:3 comment="V3GeRu PBE optimized geometry" sg="Cmcm (63)" pbc="T T T"
V 2.088 5.200 2.633
V 2.088 5.200 5.089
V 2.088 2.662 1.287
V 2.088 -2.662 3.861
V 2.088 -5.200 0.059
V 2.088 -5.200 2.515
Ge 2.088 0.011 1.287
Ge 2.088 -0.011 3.861
Ru 2.088 2.532 3.861
Ru 2.088 -2.532 1.287


*B*
5
Lattice="4.524 0.000 0.000 0.000 4.524 0.000 0.000 0.000 4.524" Properties=species:S:1:pos:R:3 comment="V3GeRu PBE optimized geometry" sg="Pm-3m (221)" pbc="T T T"
V 0.000 0.000 2.262
V 0.000 2.262 0.000
V 2.262 0.000 0.000
Ge 2.262 2.262 2.262
Ru 0.000 0.000 0.000


The most stable of them is *A*.